# Sm12DyMg3, relaxed, DFT PBE-GGA
# * total magnetic moment: 0.000 μB/f.u.
# * formation energy: 0.0102 eV per atom
# * raw total energy: -4.12 eV/atom
data_Sm12DyMg3
_chemical_formula_sum 'Sm12 Dy1 Mg3'
_cell_length_a 5.006
_cell_length_b 5.006
_cell_length_c 20.164
_cell_angle_alpha 90.00
_cell_angle_beta 90.00
_cell_angle_gamma 90.00
_space_group_name_H-M_alt 'P 4/m m m'
_space_group_IT_number 123
_space_group_name_Hall '-P 4 2'
loop_
_atom_site_label
_atom_site_fract_x
_atom_site_fract_y
_atom_site_fract_z
Sm1 0.000 0.000 0.000
Sm2 0.000 0.000 0.247
Sm3 0.000 0.000 0.500
Sm4 0.000 0.500 0.124
Sm5 0.000 0.500 0.372
Dy1 0.500 0.500 0.500
Mg1 0.500 0.500 0.000
Mg2 0.500 0.500 0.246